No. 1
VASP calculation (PBE) on a relaxed structure of ZnH2Ir2.

The structure in POSCAR format:
```
ZnH2Ir2
1.0
5.448 0.000 0.000
0.000 5.448 0.000
0.000 0.000 3.418
H Zn Ir
4 2 4
Direct
0.116 0.616 0.000
0.616 0.884 0.000
0.884 0.384 0.000
0.384 0.116 0.000
0.000 0.000 0.000
0.500 0.500 0.000
0.179 0.679 0.500
0.679 0.821 0.500
0.821 0.321 0.500
0.321 0.179 0.500
```

Computed properties:
Final energy: -5.0602 eV per atom


No. 2
VASP calculation (PBE) on a relaxed structure of NbMoOs3.

The structure in POSCAR format:
```
NbMoOs3
1.0
-1.002 4.463 0.773
-1.636 -1.095 4.200
4.223 0.635 1.810
Mo Os Nb
1 3 1
Direct
0.000 0.000 0.000
0.000 0.500 0.000
0.000 0.000 0.500
0.500 0.000 0.000
0.500 0.500 0.500
```

Computed properties:
E_form: 2.0186 eV/atom


No. 3
VASP calculation (PBE) on a relaxed structure of LuB2C.

The structure in POSCAR format:
```
LuB2C
1.0
-2.791 -5.823 1.760
-0.367 -1.772 -6.444
3.349 -1.535 0.232
Lu B C
4 8 4
Direct
0.802 0.302 0.500
0.198 0.698 0.500
0.698 0.802 0.500
0.302 0.198 0.500
0.319 0.468 0.000
0.681 0.532 0.000
0.181 0.968 0.000
0.819 0.032 0.000
0.468 0.681 0.000
0.532 0.319 0.000
0.968 0.819 0.000
0.032 0.181 0.000
0.084 0.416 0.000
0.916 0.584 0.000
0.416 0.916 0.000
0.584 0.084 0.000
```

Computed properties:
E_form: -0.3414 eV/atom